Record 1
This record from Alexandria via LeMat-Bulk describes YTlRu after structural relaxation. The functional is PBE.

Calculated values
symmetry	No. 216

a = 6.644 Å, b = 6.644 Å, c = 6.644 Å
α = 90.00°, β = 90.00°, γ = 90.00°
Fractional coordinates of all 12 atoms:
Y (0.000, 0.000, 0.000)
Y (0.000, 0.500, 0.500)
Y (0.500, 0.000, 0.500)
Y (0.500, 0.500, 0.000)
Tl (0.000, 0.000, 0.500)
Tl (0.000, 0.500, 0.000)
Tl (0.500, 0.000, 0.000)
Tl (0.500, 0.500, 0.500)
Ru (0.250, 0.250, 0.250)
Ru (0.250, 0.750, 0.750)
Ru (0.750, 0.250, 0.750)
Ru (0.750, 0.750, 0.250)

Record 2
This record from Alexandria via LeMat-Bulk describes YTlRu2 after structural relaxation. The functional is PBE.

Calculated values
symmetry	No. 123
ΔE to the lowest computed polymorph	0	meV per atom

a = 4.619 Å, b = 4.619 Å, c = 3.493 Å
α = 90.00°, β = 90.00°, γ = 90.00°
Fractional coordinates of all 4 atoms:
Y (0.000, 0.000, 0.000)
Tl (0.500, 0.500, 0.000)
Ru (0.000, 0.500, 0.500)
Ru (0.500, 0.000, 0.500)

Record 3
This record from Alexandria via LeMat-Bulk describes YTlRu after structural relaxation. The functional is PBE.

Calculated values
symmetry	No. 156

a = 3.626 Å, b = 3.626 Å, c = 6.219 Å
α = 90.00°, β = 90.00°, γ = 120.00°
Fractional coordinates of all 3 atoms:
Y (0.000, 0.000, 0.000)
Tl (0.333, 0.667, 0.586)
Ru (0.667, 0.333, 0.292)

Record 4
This record from Alexandria via LeMat-Bulk describes Y2TlRu after structural relaxation. The functional is PBE.

Calculated values
symmetry	No. 25

a = 3.544 Å, b = 4.609 Å, c = 6.205 Å
α = 90.00°, β = 90.00°, γ = 90.00°
Fractional coordinates of all 4 atoms:
Y (0.000, 0.000, 0.000)
Y (0.500, 0.500, 0.332)
Tl (0.500, 0.500, 0.807)
Ru (0.000, 0.000, 0.436)

Record 5
This record from Alexandria via LeMat-Bulk describes YTlRu2 after structural relaxation. The functional is PBE.

Calculated values
symmetry	No. 122
ΔE to the lowest computed polymorph	504	meV per atom

a = 4.291 Å, b = 4.291 Å, c = 18.974 Å
α = 90.00°, β = 90.00°, γ = 90.00°
Fractional coordinates of all 16 atoms:
Y (0.000, 0.000, 0.000)
Y (0.000, 0.500, 0.250)
Y (0.500, 0.000, 0.750)
Y (0.500, 0.500, 0.500)
Tl (0.000, 0.000, 0.500)
Tl (0.000, 0.500, 0.750)
Tl (0.500, 0.000, 0.250)
Tl (0.500, 0.500, 0.000)
Ru (0.171, 0.250, 0.125)
Ru (0.250, 0.671, 0.375)
Ru (0.250, 0.829, 0.875)
Ru (0.329, 0.250, 0.625)
Ru (0.671, 0.750, 0.625)
Ru (0.750, 0.171, 0.875)
Ru (0.750, 0.329, 0.375)
Ru (0.829, 0.750, 0.125)

Record 6
This record from Alexandria via LeMat-Bulk describes Y5TlRu2 after structural relaxation. The functional is PBE.

Calculated values
symmetry	No. 140

a = 8.801 Å, b = 8.801 Å, c = 8.801 Å
α = 127.88°, β = 127.88°, γ = 76.82°
Fractional coordinates of all 16 atoms:
Y (0.000, 0.000, 0.000)
Y (0.028, 0.528, 0.821)
Y (0.207, 0.028, 0.500)
Y (0.293, 0.793, 0.821)
Y (0.472, 0.293, 0.500)
Y (0.500, 0.500, 0.000)
Y (0.528, 0.707, 0.500)
Y (0.707, 0.207, 0.179)
Y (0.793, 0.972, 0.500)
Y (0.972, 0.472, 0.179)
Tl (0.250, 0.250, 0.000)
Tl (0.750, 0.750, 0.000)
Ru (0.140, 0.360, 0.500)
Ru (0.360, 0.860, 0.220)
Ru (0.640, 0.140, 0.780)
Ru (0.860, 0.640, 0.500)

no.,formation enthalpy at 0 K (eV/atom),DOS at the Fermi energy (states/eV/atom)
1,-0.003,0.38
2,0.067,1.44
3,0.130,0.94
4,0.006,0.47
5,0.571,0.63
6,-0.374,0.71